# Mn3GeH (PBE-GGA, relaxed)
data_Mn3GeH
_chemical_formula_sum 'Mn9 Ge3 H3'
_space_group_name_H-M_alt 'R 3 m'
_space_group_IT_number 160
_space_group_name_Hall 'R 3 -2"'
_cell_length_a 7.4009
_cell_length_b 7.4009
_cell_length_c 3.7601
_cell_angle_alpha 90.00
_cell_angle_beta 90.00
_cell_angle_gamma 120.00
loop_
_atom_site_label
_atom_site_type_symbol
_atom_site_fract_x
_atom_site_fract_y
_atom_site_fract_z
_atom_site_occupancy
Mn1 Mn 0.1944 0.3888 0.0000 1
Ge1 Ge 0.0000 0.0000 0.8498 1
H1 H 0.0000 0.0000 0.3757 1
# ΔE to the lowest computed polymorph	0.6362	eV per atom


# MnGeH (PBE-GGA, relaxed)
data_MnGeH
_chemical_formula_sum 'Mn4 Ge4 H4'
_space_group_name_H-M_alt 'C m c m'
_space_group_IT_number 63
_space_group_name_Hall '-C 2c 2'
_cell_length_a 3.091
_cell_length_b 15.108
_cell_length_c 2.801
_cell_angle_alpha 90.00
_cell_angle_beta 90.00
_cell_angle_gamma 90.00
loop_
_atom_site_label
_atom_site_type_symbol
_atom_site_fract_x
_atom_site_fract_y
_atom_site_fract_z
_atom_site_occupancy
Mn1 Mn 0.000 0.182 0.250 1
Ge1 Ge 0.000 0.420 0.250 1
H1 H 0.000 0.254 0.750 1
# ΔE to the lowest computed polymorph	0.0175	eV per atom


# MnGeH (PBE-GGA, relaxed)
data_MnGeH
_chemical_formula_sum 'Mn1 Ge1 H1'
_space_group_name_H-M_alt 'P -6 m 2'
_space_group_IT_number 187
_space_group_name_Hall 'P -6 2'
_cell_length_a 3.1668
_cell_length_b 3.1668
_cell_length_c 3.4698
_cell_angle_alpha 90.00
_cell_angle_beta 90.00
_cell_angle_gamma 120.00
loop_
_atom_site_label
_atom_site_type_symbol
_atom_site_fract_x
_atom_site_fract_y
_atom_site_fract_z
_atom_site_occupancy
Mn1 Mn 0.0000 0.0000 0.0000 1
Ge1 Ge 0.3333 0.6667 0.5000 1
H1 H 0.6667 0.3333 0.0000 1
# ΔE to the lowest computed polymorph	0.0000	eV per atom


# Mn3GeH (PBE-GGA, relaxed)
data_Mn3GeH
_chemical_formula_sum 'Mn12 Ge4 H4'
_space_group_name_H-M_alt 'C 1 2/m 1'
_space_group_IT_number 12
_cell_length_a 13.472
_cell_length_b 2.680
_cell_length_c 5.992
_cell_angle_alpha 90.00
_cell_angle_beta 93.17
_cell_angle_gamma 90.00
loop_
_space_group_symop_operation_xyz
'x,y,z'
'-x,-y,-z'
'-x,y,-z'
'x,-y,z'
'x+1/2,y+1/2,z'
'-x+1/2,-y+1/2,-z'
'-x+1/2,y+1/2,-z'
'x+1/2,-y+1/2,z'
loop_
_atom_site_label
_atom_site_type_symbol
_atom_site_fract_x
_atom_site_fract_y
_atom_site_fract_z
_atom_site_occupancy
Mn1 Mn 0.020 0.000 0.237 1
Mn2 Mn 0.155 0.500 0.970 1
Mn3 Mn 0.219 0.000 0.301 1
Ge1 Ge 0.108 0.500 0.547 1
H1 H 0.072 0.000 0.977 1
# ΔE to the lowest computed polymorph	0.2179	eV per atom


# Mn3GeH (PBE-GGA, relaxed)
data_Mn3GeH
_chemical_formula_sum 'Mn12 Ge4 H4'
_space_group_name_H-M_alt 'P 1 21/c 1'
_space_group_IT_number 14
_cell_length_a 6.397
_cell_length_b 4.630
_cell_length_c 6.851
_cell_angle_alpha 90.00
_cell_angle_beta 102.35
_cell_angle_gamma 90.00
loop_
_space_group_symop_operation_xyz
'x,y,z'
'-x,-y,-z'
'-x,y+1/2,-z+1/2'
'x,-y+1/2,z+1/2'
loop_
_atom_site_label
_atom_site_type_symbol
_atom_site_fract_x
_atom_site_fract_y
_atom_site_fract_z
_atom_site_occupancy
Mn1 Mn 0.054 0.089 0.180 1
Mn2 Mn 0.192 0.570 0.062 1
Mn3 Mn 0.322 0.087 0.934 1
Ge1 Ge 0.418 0.603 0.806 1
H1 H 0.059 0.249 0.933 1
# ΔE to the lowest computed polymorph	0.1231	eV per atom


# Mn3GeH (PBE-GGA, relaxed)
data_Mn3GeH
_chemical_formula_sum 'Mn6 Ge2 H2'
_space_group_name_H-M_alt 'P 1 c 1'
_space_group_IT_number 7
_cell_length_a 4.665
_cell_length_b 4.431
_cell_length_c 5.081
_cell_angle_alpha 90.00
_cell_angle_beta 108.86
_cell_angle_gamma 90.00
loop_
_space_group_symop_operation_xyz
'x,y,z'
'x,-y,z+1/2'
loop_
_atom_site_label
_atom_site_type_symbol
_atom_site_fract_x
_atom_site_fract_y
_atom_site_fract_z
_atom_site_occupancy
Mn1 Mn 0.000 0.093 0.000 1
Mn2 Mn 0.493 0.097 0.142 1
Mn3 Mn 0.746 0.397 0.575 1
Ge1 Ge 0.202 0.392 0.433 1
H1 H 0.628 0.253 0.867 1
# ΔE to the lowest computed polymorph	0.1686	eV per atom


no.,final energy (eV/atom)
1,-6.5942
2,-5.6486
3,-5.6660
4,-7.0125
5,-7.1073
6,-7.0618